No. 1
Zr4InRh | PBE-GGA | optimized geometry

CIF file:
```
data_Zr4InRh
_chemical_formula_sum 'Zr16 In4 Rh4'
_cell_length_a 8.0052
_cell_length_b 8.0052
_cell_length_c 8.0052
_cell_angle_alpha 90.00
_cell_angle_beta 90.00
_cell_angle_gamma 90.00
_symmetry_space_group_name_H-M 'F -4 3 m'
_symmetry_Int_Tables_number 216
_symmetry_space_group_name_Hall 'F -4 2 3'
loop_
_atom_site_label
_atom_site_type_symbol
_atom_site_fract_x
_atom_site_fract_y
_atom_site_fract_z
Zr1 Zr 0.1253 0.1253 0.1253
In1 In 0.2500 0.2500 0.7500
Rh1 Rh 0.0000 0.0000 0.5000
```

Computed properties:
**Calculated formation energy**: 175 meV/atom


No. 2
Sc2PRu | PBE-GGA | optimized geometry

CIF file:
```
data_Sc2PRu
_chemical_formula_sum 'Sc4 P2 Ru2'
_cell_length_a 3.8208
_cell_length_b 3.7126
_cell_length_c 9.9486
_cell_angle_alpha 90.00
_cell_angle_beta 90.00
_cell_angle_gamma 90.00
_symmetry_space_group_name_H-M 'A m m 2'
_symmetry_Int_Tables_number 38
_symmetry_space_group_name_Hall 'A 2 -2'
loop_
_atom_site_label
_atom_site_type_symbol
_atom_site_fract_x
_atom_site_fract_y
_atom_site_fract_z
Sc1 Sc 0.0000 0.0000 0.0000
Sc2 Sc 0.5000 0.0000 0.2823
P1 P 0.5000 0.0000 0.5628
Ru1 Ru 0.0000 0.0000 0.7162
```

Computed properties:
**Calculated formation energy**: -925 meV/atom


No. 3
Ac3InGe2 | PBE-GGA | optimized geometry

CIF file:
```
data_Ac3InGe2
_chemical_formula_sum 'Ac18 In6 Ge12'
_cell_length_a 8.4505
_cell_length_b 8.4505
_cell_length_c 20.5931
_cell_angle_alpha 90.00
_cell_angle_beta 90.00
_cell_angle_gamma 120.00
_symmetry_space_group_name_H-M 'R -3 c'
_symmetry_Int_Tables_number 167
_symmetry_space_group_name_Hall '-R 3 2"c'
loop_
_atom_site_label
_atom_site_type_symbol
_atom_site_fract_x
_atom_site_fract_y
_atom_site_fract_z
Ac1 Ac 0.0000 0.2971 0.2500
In1 In 0.0000 0.0000 0.0000
Ge1 Ge 0.0000 0.0000 0.1486
```

Computed properties:
**Calculated formation energy**: -497 meV/atom
**Relative energy among the computed polymorphs**: 57 meV/atom


No. 4
AcPmPtCl | PBE-GGA | optimized geometry

CIF file:
```
data_AcPmPtCl
_chemical_formula_sum 'Ac3 Pm3 Pt3 Cl3'
_cell_length_a 4.2461
_cell_length_b 4.2461
_cell_length_c 23.5096
_cell_angle_alpha 90.00
_cell_angle_beta 90.00
_cell_angle_gamma 120.00
_symmetry_space_group_name_H-M 'R 3 m'
_symmetry_Int_Tables_number 160
_symmetry_space_group_name_Hall 'R 3 -2"'
loop_
_atom_site_label
_atom_site_type_symbol
_atom_site_fract_x
_atom_site_fract_y
_atom_site_fract_z
Ac1 Ac 0.0000 0.0000 0.0000
Pm1 Pm 0.0000 0.0000 0.1957
Pt1 Pt 0.0000 0.0000 0.5930
Cl1 Cl 0.0000 0.0000 0.7709
```

Computed properties:
**ΔE_f (raw)**: -1.356 eV per atom


No. 5
K2PaGa2O6 | PBE-GGA | optimized geometry

CIF file:
```
data_K2PaGa2O6
_chemical_formula_sum 'K4 Pa2 Ga4 O12'
_cell_length_a 10.3587
_cell_length_b 6.1065
_cell_length_c 6.9691
_cell_angle_alpha 90.00
_cell_angle_beta 121.32
_cell_angle_gamma 90.00
_symmetry_space_group_name_H-M 'C 1 2/m 1'
_symmetry_Int_Tables_number 12
_symmetry_space_group_name_Hall '-C 2y'
loop_
_atom_site_label
_atom_site_type_symbol
_atom_site_fract_x
_atom_site_fract_y
_atom_site_fract_z
K1 K 0.2070 0.0000 0.1684
Pa1 Pa 0.0000 0.0000 0.5000
Ga1 Ga 0.0520 0.5000 0.2180
O1 O 0.0340 0.2486 0.7493
O2 O 0.2405 0.0000 0.6269
```

Computed properties:
**ΔE_f (raw)**: -2.262 eV per atom


No. 6
CsPuSnF6 | PBE-GGA | optimized geometry

CIF file:
```
data_CsPuSnF6
_chemical_formula_sum 'Cs1 Pu1 Sn1 F6'
_cell_length_a 4.6014
_cell_length_b 6.7211
_cell_length_c 6.8238
_cell_angle_alpha 64.38
_cell_angle_beta 88.70
_cell_angle_gamma 82.44
_symmetry_space_group_name_H-M 'P 1'
_symmetry_Int_Tables_number 1
_symmetry_space_group_name_Hall 'P 1'
loop_
_atom_site_label
_atom_site_type_symbol
_atom_site_fract_x
_atom_site_fract_y
_atom_site_fract_z
Cs1 Cs 0.0000 0.0000 0.0000
Pu1 Pu 0.6665 0.7193 0.6413
Sn1 Sn 0.5106 0.3638 0.3536
F1 F 0.1783 0.6613 0.6968
F2 F 0.4899 0.0111 0.7159
F3 F 0.5134 0.7574 0.3013
F4 F 0.7234 0.5092 0.0273
F5 F 0.8084 0.3916 0.5806
F6 F 0.8162 0.0737 0.3813
```

Computed properties:
**ΔE_f (raw)**: -2.974 eV per atom


No. 7
PrErTmTh | PBE-GGA | optimized geometry

CIF file:
```
data_PrErTmTh
_chemical_formula_sum 'Pr4 Er4 Tm4 Th4'
_cell_length_a 8.0348
_cell_length_b 8.0348
_cell_length_c 8.0348
_cell_angle_alpha 90.00
_cell_angle_beta 90.00
_cell_angle_gamma 90.00
_symmetry_space_group_name_H-M 'F -4 3 m'
_symmetry_Int_Tables_number 216
_symmetry_space_group_name_Hall 'F -4 2 3'
loop_
_atom_site_label
_atom_site_type_symbol
_atom_site_fract_x
_atom_site_fract_y
_atom_site_fract_z
Pr1 Pr 0.0000 0.0000 0.0000
Er1 Er 0.2500 0.2500 0.7500
Tm1 Tm 0.2500 0.2500 0.2500
Th1 Th 0.0000 0.0000 0.5000
```

Computed properties:
**Calculated formation energy**: 121 meV/atom
**Relative energy among the computed polymorphs**: 103 meV/atom


No. 8
Pr6NdEr2Tm3 | PBE-GGA | optimized geometry

CIF file:
```
data_Pr6NdEr2Tm3
_chemical_formula_sum 'Pr12 Nd2 Er4 Tm6'
_cell_length_a 6.2944
_cell_length_b 10.9013
_cell_length_c 11.8582
_cell_angle_alpha 90.00
_cell_angle_beta 100.17
_cell_angle_gamma 90.00
_symmetry_space_group_name_H-M 'C 1 2/m 1'
_symmetry_Int_Tables_number 12
_symmetry_space_group_name_Hall '-C 2y'
loop_
_atom_site_label
_atom_site_type_symbol
_atom_site_fract_x
_atom_site_fract_y
_atom_site_fract_z
Pr1 Pr 0.2486 0.1670 0.2476
Pr2 Pr 0.2504 0.0000 0.7522
Nd1 Nd 0.0000 0.5000 0.5000
Er1 Er 0.0000 0.1665 0.5000
Tm1 Tm 0.0000 0.0000 0.0000
Tm2 Tm 0.0000 0.3332 0.0000
```

Computed properties:
**Calculated formation energy**: 16 meV/atom


No. 9
Pr2NdTe4 | PBE-GGA | optimized geometry

CIF file:
```
data_Pr2NdTe4
_chemical_formula_sum 'Pr4 Nd2 Te8'
_cell_length_a 16.8596
_cell_length_b 4.5167
_cell_length_c 7.9069
_cell_angle_alpha 90.00
_cell_angle_beta 117.05
_cell_angle_gamma 90.00
_symmetry_space_group_name_H-M 'C 1 2/m 1'
_symmetry_Int_Tables_number 12
_symmetry_space_group_name_Hall '-C 2y'
loop_
_atom_site_label
_atom_site_type_symbol
_atom_site_fract_x
_atom_site_fract_y
_atom_site_fract_z
Pr1 Pr 0.2395 0.0000 0.2288
Nd1 Nd 0.0000 0.5000 0.5000
Te1 Te 0.1211 0.5000 0.9454
Te2 Te 0.1304 0.0000 0.4775
```

Computed properties:
**Relative energy among the computed polymorphs**: 0 meV/atom
**ΔE_f (raw)**: -1.417 eV per atom


No. 10
Er3CdCu8 | PBE-GGA | optimized geometry

CIF file:
```
data_Er3CdCu8
_chemical_formula_sum 'Er9 Cd3 Cu24'
_cell_length_a 5.1586
_cell_length_b 5.1586
_cell_length_c 25.3312
_cell_angle_alpha 90.00
_cell_angle_beta 90.00
_cell_angle_gamma 120.00
_symmetry_space_group_name_H-M 'R 3 m'
_symmetry_Int_Tables_number 160
_symmetry_space_group_name_Hall 'R 3 -2"'
loop_
_atom_site_label
_atom_site_type_symbol
_atom_site_fract_x
_atom_site_fract_y
_atom_site_fract_z
Er1 Er 0.0000 0.0000 0.0000
Er2 Er 0.0000 0.0000 0.1265
Er3 Er 0.0000 0.0000 0.6155
Cd1 Cd 0.0000 0.0000 0.4931
Cu1 Cu 0.0000 0.0000 0.3081
Cu2 Cu 0.0000 0.0000 0.8094
Cu3 Cu 0.0060 0.5030 0.5591
Cu4 Cu 0.1671 0.3342 0.3919
```

Computed properties:
**Calculated formation energy**: -220 meV/atom
**Relative energy among the computed polymorphs**: 10 meV/atom


No. 11
ZrTa2Ru | PBE-GGA | optimized geometry

CIF file:
```
data_ZrTa2Ru
_chemical_formula_sum 'Zr1 Ta2 Ru1'
_cell_length_a 2.9941
_cell_length_b 4.5794
_cell_length_c 5.3599
_cell_angle_alpha 90.00
_cell_angle_beta 102.40
_cell_angle_gamma 90.00
_symmetry_space_group_name_H-M 'P 1 2/m 1'
_symmetry_Int_Tables_number 10
_symmetry_space_group_name_Hall '-P 2y'
loop_
_atom_site_label
_atom_site_type_symbol
_atom_site_fract_x
_atom_site_fract_y
_atom_site_fract_z
Zr1 Zr 0.0000 0.0000 0.0000
Ta1 Ta 0.2725 0.5000 0.7419
Ru1 Ru 0.5000 0.0000 0.5000
```

Computed properties:
**Calculated formation energy**: -114 meV/atom


No. 12
Nd3Sb2Rh | PBE-GGA | optimized geometry

CIF file:
```
data_Nd3Sb2Rh
_chemical_formula_sum 'Nd12 Sb8 Rh4'
_cell_length_a 12.2957
_cell_length_b 4.5115
_cell_length_c 12.2191
_cell_angle_alpha 90.00
_cell_angle_beta 90.00
_cell_angle_gamma 90.00
_symmetry_space_group_name_H-M 'P n m a'
_symmetry_Int_Tables_number 62
_symmetry_space_group_name_Hall '-P 2ac 2n'
loop_
_atom_site_label
_atom_site_type_symbol
_atom_site_fract_x
_atom_site_fract_y
_atom_site_fract_z
Nd1 Nd 0.0533 0.2500 0.1293
Nd2 Nd 0.1170 0.7500 0.5543
Nd3 Nd 0.2288 0.2500 0.8013
Sb1 Sb 0.0087 0.7500 0.3086
Sb2 Sb 0.1894 0.7500 0.9993
Rh1 Rh 0.1260 0.2500 0.3683
```

Computed properties:
**ΔE_f (raw)**: -1.001 eV per atom